No. 1
Here is a relaxed TbSCl crystal from Alexandria via LeMat-Bulk. Energies are from PBE-GGA.

```
data_TbSCl
_symmetry_space_group_name_H-M 'P 1 21/m 1'
_symmetry_Int_Tables_number 11
_cell_length_a 5.2936
_cell_length_b 4.2545
_cell_length_c 7.0286
_cell_angle_alpha 90.00
_cell_angle_beta 108.69
_cell_angle_gamma 90.00
loop_
_symmetry_equiv_pos_as_xyz
'x,y,z'
'-x,-y,-z'
'-x,y+1/2,-z'
'x,-y+1/2,z'
loop_
_atom_site_label
_atom_site_type_symbol
_atom_site_fract_x
_atom_site_fract_y
_atom_site_fract_z
_atom_site_occupancy
Tb1 Tb 0.1684 0.2500 0.3072 1
S1 S 0.2736 0.7500 0.5653 1
Cl1 Cl 0.2515 0.7500 0.0621 1
```

The value obtained for the uncorrected formation energy is -2.18 eV per atom. Its crystal system is monoclinic.

=====

No. 2
Here is a relaxed KPRu2 crystal from Alexandria via LeMat-Bulk. Energies are from PBE-GGA.

```
data_KPRu2
_symmetry_space_group_name_H-M 'I m m 2'
_symmetry_Int_Tables_number 44
_cell_length_a 2.7582
_cell_length_b 5.4284
_cell_length_c 10.0480
_cell_angle_alpha 90.00
_cell_angle_beta 90.00
_cell_angle_gamma 90.00
loop_
_symmetry_equiv_pos_as_xyz
'x,y,z'
'-x,-y,z'
'-x,y,z'
'x,-y,z'
'x+1/2,y+1/2,z+1/2'
'-x+1/2,-y+1/2,z+1/2'
'-x+1/2,y+1/2,z+1/2'
'x+1/2,-y+1/2,z+1/2'
loop_
_atom_site_label
_atom_site_type_symbol
_atom_site_fract_x
_atom_site_fract_y
_atom_site_fract_z
_atom_site_occupancy
K1 K 0.0000 0.0000 0.0000 1
P1 P 0.0000 0.5000 0.2184 1
Ru1 Ru 0.0000 0.0000 0.5296 1
Ru2 Ru 0.0000 0.5000 0.8106 1
```

For the formation energy, the calculation gives 0.765 eV per atom. Its crystal system is orthorhombic.

=====

No. 3
Here is a relaxed Be3Te crystal from Alexandria via LeMat-Bulk. Energies are from PBE-GGA.

```
data_Be3Te
_symmetry_space_group_name_H-M 'C m c m'
_symmetry_Int_Tables_number 63
_symmetry_space_group_name_Hall '-C 2c 2'
_cell_length_a 8.9811
_cell_length_b 10.0842
_cell_length_c 3.5884
_cell_angle_alpha 90.00
_cell_angle_beta 90.00
_cell_angle_gamma 90.00
loop_
_atom_site_label
_atom_site_type_symbol
_atom_site_fract_x
_atom_site_fract_y
_atom_site_fract_z
_atom_site_occupancy
Be1 Be 0.0000 0.1067 0.2500 1
Be2 Be 0.1395 0.0630 0.7500 1
Te1 Te 0.0000 0.2709 0.7500 1
```

As for the excess energy over the best structure of this formula in the dataset: 0.158 eV per atom. The value obtained for the uncorrected formation energy is 0.36 eV per atom. Its crystal system is orthorhombic.

=====

Asked for final energy across the records above, the calculation gives -5.715 -5.500 -3.216 eV/atom in order.